{
  "formula": "NaTlPF2",
  "functional": "PBE",
  "state": "relaxed",
  "cell": [[4.635, 0.000, 0.000], [0.000, 5.185, 0.000], [0.000, 0.000, 4.635]],
  "species": ["P", "Tl", "F", "F", "Na"],
  "frac_coords": [[0.000, 0.500, 0.000], [0.000, 0.000, 0.000], [0.000, 0.000, 0.500], [0.500, 0.000, 0.000], [0.500, 0.500, 0.500]],
  "magnetic_moment_mub_per_atom": 0.2327,
  "final_energy_ev_per_cell": -17.55
}